# 1
HgW: relaxed, PBE.

Computed properties:
DFT formation energy: 981 meV/atom
Energy relative to the lowest polymorph listed for this composition: 477 meV/atom

The structure in CIF format:
```
data_HgW
_chemical_formula_sum 'Hg4 W4'
_cell_length_a 4.3463
_cell_length_b 4.3463
_cell_length_c 10.3301
_cell_angle_alpha 90.00
_cell_angle_beta 90.00
_cell_angle_gamma 120.00
_space_group_name_H-M_alt 'P 1'
_space_group_IT_number 1
loop_
_space_group_symop_operation_xyz
'x,y,z'
loop_
_atom_site_label
_atom_site_fract_x
_atom_site_fract_y
_atom_site_fract_z
Hg1 0.3333 0.6667 0.0803
Hg2 0.3333 0.6667 0.4197
Hg3 0.6667 0.3333 0.5803
Hg4 0.6667 0.3333 0.9197
W1 0.0000 0.0000 0.2500
W2 0.0000 0.0000 0.7500
W3 0.3333 0.6667 0.7500
W4 0.6667 0.3333 0.2500
```


# 2
Ag5TeS4Br2: relaxed, PBE.

Computed properties:
ΔE_f (raw): -58 meV per atom

The structure in CIF format:
```
data_Ag5TeS4Br2
_chemical_formula_sum 'Ag5 Te1 S4 Br2'
_cell_length_a 7.7473
_cell_length_b 7.0928
_cell_length_c 7.0928
_cell_angle_alpha 128.57
_cell_angle_beta 90.00
_cell_angle_gamma 90.00
_space_group_name_H-M_alt 'P 1'
_space_group_IT_number 1
loop_
_space_group_symop_operation_xyz
'x,y,z'
loop_
_atom_site_label
_atom_site_fract_x
_atom_site_fract_y
_atom_site_fract_z
Ag1 0.0000 0.0000 0.0000
Ag2 0.2987 0.3015 0.6373
Ag3 0.2987 0.6373 0.3015
Ag4 0.7013 0.3015 0.6373
Ag5 0.7013 0.6373 0.3015
Te1 0.5000 0.9869 0.9869
S1 0.2628 0.2453 0.2453
S2 0.5000 0.0216 0.6417
S3 0.5000 0.6417 0.0216
S4 0.7372 0.2453 0.2453
Br1 0.0000 0.5407 0.8614
Br2 0.0000 0.8614 0.5407
```


> Which formula does entry 1 have?

HgW